[1]
The following is a PBE calculation of a geometry-optimized Ca2Hg6Pb structure, from Alexandria.

**Total DFT energy (no corrections)**: -12.3 eV/cell
**E above lowest polymorph**: 0.000 eV/atom
**SG**: C2/m, No. 12

Cell: 8.7626 8.7626 3.5794 Å, 90.15 90.15 60.00°
Atoms (fractional coordinates):
Ca 0.1667 0.1667 0.0007
Ca 0.8333 0.8333 0.9993
Hg 0.1661 0.5000 0.4994
Hg 0.1661 0.8339 0.5000
Hg 0.5000 0.1661 0.4994
Hg 0.5000 0.8339 0.5006
Hg 0.8339 0.1661 0.5000
Hg 0.8339 0.5000 0.5006
Pb 0.5000 0.5000 0.0000

[2]
The following is a PBE calculation of a geometry-optimized Ca2HgPb structure, from Alexandria.

**Total DFT energy (no corrections)**: -10.4 eV/cell
**SG**: Fm-3m, No. 225

Cell: 5.4732 5.4732 5.4732 Å, 60.00 60.00 60.00°
Atoms (fractional coordinates):
Ca 0.2500 0.2500 0.2500
Ca 0.7500 0.7500 0.7500
Hg 0.0000 0.0000 0.0000
Pb 0.5000 0.5000 0.5000

- The lowest total DFT energy (no corrections) belongs to which entry?
  Ca2Hg6Pb

Copy entry 1 word for word.
The following is a PBE calculation of a geometry-optimized Ca2Hg6Pb structure, from Alexandria.

**Total DFT energy (no corrections)**: -12.3 eV/cell
**E above lowest polymorph**: 0.000 eV/atom
**SG**: C2/m, No. 12

Cell: 8.7626 8.7626 3.5794 Å, 90.15 90.15 60.00°
Atoms (fractional coordinates):
Ca 0.1667 0.1667 0.0007
Ca 0.8333 0.8333 0.9993
Hg 0.1661 0.5000 0.4994
Hg 0.1661 0.8339 0.5000
Hg 0.5000 0.1661 0.4994
Hg 0.5000 0.8339 0.5006
Hg 0.8339 0.1661 0.5000
Hg 0.8339 0.5000 0.5006
Pb 0.5000 0.5000 0.0000

- Look up the total DFT energy (no corrections) of the second one.
  -10.4 eV/cell

- total DFT energy (no corrections) of number 1 (Ca2Hg6Pb)?
  -12.3 eV/cell